Record 1
Density functional theory data (PBE-GGA) for a relaxed structure of Zr2C. Values from VASP.

The structure in Quantum ESPRESSO input format:
```
&SYSTEM
  ibrav = 0, nat = 3, ntyp = 2
/
ATOMIC_SPECIES
Zr 91.22 Zr.upf
C 12.01 C.upf
CELL_PARAMETERS angstrom
3.547 -2.845 -3.378
4.973 -0.141 -2.708
1.462 -1.354 2.354
ATOMIC_POSITIONS angstrom
Zr 7.800 -2.934 -4.758
Zr 2.183 -1.405 1.026
C 4.991 -2.170 -1.866
```

Values from the calculation:
Calculated formation energy (eV per atom): 0.008

---

Record 2
Density functional theory data (PBE-GGA) for a relaxed structure of Zr4C. Values from VASP.

The structure in Quantum ESPRESSO input format:
```
&SYSTEM
  ibrav = 0, nat = 5, ntyp = 2
/
ATOMIC_SPECIES
Zr 91.22 Zr.upf
C 12.01 C.upf
CELL_PARAMETERS angstrom
-2.949 -3.347 -1.260
3.431 -2.188 -2.220
1.008 -2.345 3.869
ATOMIC_POSITIONS angstrom
Zr 0.241 -2.767 -1.740
Zr -0.971 -2.846 1.305
Zr 2.220 -2.267 0.825
Zr 0.000 0.000 0.000
C 0.745 -3.940 0.195
```

Values from the calculation:
Excess energy over the best structure of this formula in the dataset (meV/atom): 21
Calculated formation energy (eV per atom): -0.235

---

Record 3
Density functional theory data (PBE-GGA) for a relaxed structure of Zr2C. Values from VASP.

The structure in Quantum ESPRESSO input format:
```
&SYSTEM
  ibrav = 0, nat = 6, ntyp = 2
/
ATOMIC_SPECIES
Zr 91.22 Zr.upf
C 12.01 C.upf
CELL_PARAMETERS angstrom
-4.409 3.342 -0.976
2.051 -5.229 -0.096
-1.821 -0.814 5.439
ATOMIC_POSITIONS angstrom
Zr -3.704 0.684 2.154
Zr -4.799 3.135 0.246
Zr 0.714 -5.794 3.840
Zr 0.315 -3.033 -0.142
C -3.606 -0.665 4.314
C -1.158 -2.298 1.804
```

Values from the calculation:
Calculated formation energy (eV per atom): -0.294